A geometry-optimized Nd2Y8Th3 structure, computed with PBE.

Computed properties:
**Offset from the most stable computed form**: 108.6 meV per atom
**DFT total energy**: -6.151 eV/atom
**ΔH_f (0 K)**: 0.2728 eV per atom
**Volume**: 450.0 Å³ per cell

a = 10.9037 Å, b = 10.9037 Å, c = 5.6073 Å
α = 90.03°, β = 90.03°, γ = 42.46°
With the nearest neighbours (Å) after each atom.
Element x y z (fractional)
Nd1 0.2390 0.2390 0.4992  8 Y 3.40-3.63
Nd2 0.7610 0.7610 0.5008  8 Y 3.40-3.63
Y1 0.1255 0.1255 0.9999  4 Th 3.47-3.79, 2 Nd 3.63, 4 Y 3.67
Y2 0.1904 0.5999 0.4997  3 Th 3.16-3.52, 3 Y 3.23-3.47
Y3 0.3338 0.3338 0.9993  2 Nd 3.40, 4 Y 3.47, 2 Th 3.74
Y4 0.4001 0.8096 0.5003  3 Th 3.16-3.52, 3 Y 3.23-3.47
Y5 0.5999 0.1904 0.4997  3 Th 3.16-3.52, 3 Y 3.23-3.47
Y6 0.6662 0.6662 0.0007  2 Nd 3.40, 4 Y 3.47, 2 Th 3.74
Y7 0.8096 0.4001 0.5003  3 Th 3.16-3.52, 3 Y 3.23-3.47
Y8 0.8745 0.8745 0.0001  4 Th 3.47-3.79, 2 Nd 3.63, 4 Y 3.67
Th1 0.0000 0.0000 0.5000  4 Y 3.16
Th2 0.2972 0.7028 0.0000  1 Th 3.20, 6 Y 3.47-3.52
Th3 0.7028 0.2972 0.0000  1 Th 3.20, 6 Y 3.47-3.52